! LiSnF3 (meta-GGA SCAN, single point on PBEsol structure); values from VASP
! Crystal system: cubic
! Electronic total energy (eV per atom): -12.317
&SYSTEM
  ibrav = 0, nat = 5, ntyp = 3
/
ATOMIC_SPECIES
Sn 118.71 Sn.upf
Li 6.94 Li.upf
F 19.00 F.upf
ATOMIC_POSITIONS angstrom
Sn 1.1050 2.0504 2.3446
Li 0.0000 0.0000 0.0000
F -0.5493 -0.0178 1.8273
F 1.8198 0.1676 0.5487
F -0.1656 1.9007 -0.0313
CELL_PARAMETERS angstrom
-0.3311 3.8013 -0.0626
-1.0985 -0.0355 3.6545
3.6397 0.3351 1.0973

! ScTl2Br (meta-GGA SCAN, single point on PBEsol structure); values from VASP
! Crystal system: orthorhombic
! Electronic total energy (eV per atom): -45.066
&SYSTEM
  ibrav = 0, nat = 4, ntyp = 3
/
ATOMIC_SPECIES
Tl 204.38 Tl.upf
Br 79.90 Br.upf
Sc 44.96 Sc.upf
ATOMIC_POSITIONS angstrom
Tl 1.6714 1.3244 1.7116
Br -1.3025 -0.6037 1.7391
Tl 0.5448 2.9057 4.3409
Sc -0.8773 1.3505 -0.1883
CELL_PARAMETERS angstrom
-1.7545 2.7009 -0.3766
-2.6051 -1.2074 3.4781
6.5759 2.7366 2.9510

! CaTeAs2 (meta-GGA SCAN, single point on PBEsol structure); values from VASP
! Crystal system: monoclinic
! Electronic total energy (eV per atom): -22.473
&SYSTEM
  ibrav = 0, nat = 4, ntyp = 3
/
ATOMIC_SPECIES
As 74.92 As.upf
Te 127.60 Te.upf
Ca 40.08 Ca.upf
ATOMIC_POSITIONS angstrom
As 0.0000 0.2228 2.9875
As 1.9789 3.2370 2.8050
Te 1.9789 2.3157 0.0385
Ca 0.0000 0.0000 0.0000
CELL_PARAMETERS angstrom
3.9579 0.0000 0.0000
0.0000 4.6314 0.0771
-1.9789 -1.1716 5.7155

! TlCuPt (meta-GGA SCAN, single point on PBEsol structure); values from VASP
! Energy of formation (eV/atom): 0.41
! Crystal system: cubic
! Electronic total energy (eV per atom): -52.177
&SYSTEM
  ibrav = 0, nat = 3, ntyp = 3
/
ATOMIC_SPECIES
Tl 204.38 Tl.upf
Pt 195.08 Pt.upf
Cu 63.55 Cu.upf
ATOMIC_POSITIONS angstrom
Tl -1.9913 1.0524 1.4174
Pt -3.9826 2.1049 2.8348
Cu 0.0000 0.0000 0.0000
CELL_PARAMETERS angstrom
-4.1821 1.1779 -0.0881
-2.4650 -0.4702 3.5480
-1.3181 3.5021 2.2098